# PrZnFe2O6 PBE with a Hubbard U relaxed
# - DOS at the Fermi energy: 0.16 states/eV/atom
# - Electronic total energy: -6.47 eV/atom
data_PrZnFe2O6
_chemical_formula_sum 'Pr2 Zn2 Fe4 O12'
_symmetry_space_group_name_H-M 'P m n 21'
_symmetry_Int_Tables_number 31
_cell_length_a 7.726
_cell_length_b 5.484
_cell_length_c 5.326
_cell_angle_alpha 90.00
_cell_angle_beta 90.00
_cell_angle_gamma 90.00
loop_
_symmetry_equiv_pos_as_xyz
'x,y,z'
'-x+1/2,-y,z+1/2'
'-x,y,z'
'x+1/2,-y,z+1/2'
loop_
_atom_site_label
_atom_site_type_symbol
_atom_site_fract_x
_atom_site_fract_y
_atom_site_fract_z
Pr1 Pr 0.000 0.207 0.000
Zn1 Zn 0.000 0.712 0.472
Fe1 Fe 0.250 0.256 0.488
O1 O 0.000 0.296 0.568
O2 O 0.000 0.773 0.856
O3 O 0.191 0.946 0.298
O4 O 0.196 0.473 0.210